[1]
BaIn2HgI8 after structural relaxation. Source: the Alexandria database, functional PBE-GGA.

Properties
Formation energy without anion corrections in eV/atom: -0.7439
Theoretical density in g cm⁻³: 4.2

a = 12.3300 Å, b = 12.3300 Å, c = 12.3300 Å
α = 37.62°, β = 37.62°, γ = 37.62°
Closest atoms and distances in Å follow each position.
Element x y z (fractional)
Ba  0.0000  0.0000  0.0000  6 I 3.52
In  0.2444  0.2444  0.2444  4 I 2.68-2.80
In  0.7556  0.7556  0.7556  4 I 2.68-2.80
Hg  0.5000  0.5000  0.5000  12 I 4.46-4.59
I  0.0688  0.4160  0.6914  1 In 2.80
I  0.1663  0.1663  0.1663  1 In 2.68
I  0.3086  0.9312  0.5840  1 In 2.80
I  0.4160  0.6914  0.0688  1 In 2.80
I  0.5840  0.3086  0.9312  1 In 2.80
I  0.6914  0.0688  0.4160  1 In 2.80
I  0.8337  0.8337  0.8337  1 In 2.68
I  0.9312  0.5840  0.3086  1 In 2.80

---

[2]
Zr2TaMo after structural relaxation. Source: the Alexandria database, functional PBE-GGA.

Properties
Energy of formation from the pure elements in eV/f.u.: 1.141
Theoretical density in g cm⁻³: 9.5
E above lowest polymorph in eV per formula unit: 1.204

a = 3.1879 Å, b = 3.1879 Å, c = 27.2655 Å
α = 90.00°, β = 90.00°, γ = 120.00°
Closest atoms and distances in Å follow each position.
Element x y z (fractional)
Zr  0.0000  0.0000  0.2443  3 Mo 2.80, 3 Ta 3.05
Zr  0.0000  0.0000  0.7557  3 Mo 2.80, 3 Ta 3.05
Zr  0.3333  0.6667  0.4224  3 Mo 2.80, 3 Ta 3.05
Zr  0.3333  0.6667  0.9109  3 Mo 2.80, 3 Ta 3.05
Zr  0.6667  0.3333  0.0891  3 Mo 2.80, 3 Ta 3.05
Zr  0.6667  0.3333  0.5776  3 Mo 2.80, 3 Ta 3.05
Ta  0.0000  0.0000  0.0000  6 Zr 3.05, 6 Ta 3.19
Ta  0.3333  0.6667  0.6667  6 Zr 3.05, 6 Ta 3.19
Ta  0.6667  0.3333  0.3333  6 Zr 3.05, 6 Ta 3.19
Mo  0.0000  0.0000  0.5000  6 Zr 2.80
Mo  0.3333  0.6667  0.1667  6 Zr 2.80
Mo  0.6667  0.3333  0.8333  6 Zr 2.80

---

[3]
LaTbPm2Ho5 after structural relaxation. Source: the Alexandria database, functional PBE-GGA.

Properties
Energy of formation from the pure elements in eV/f.u.: 2.257
Theoretical density in g cm⁻³: 8.0

a = 9.9413 Å, b = 9.9413 Å, c = 9.9413 Å
α = 128.42°, β = 128.42°, γ = 75.94°
Closest atoms and distances in Å follow each position.
Element x y z (fractional)
La  0.2500  0.7500  0.5000  4 Ho 3.09
La  0.7500  0.2500  0.5000  4 Ho 3.09
Tb  0.2500  0.2500  0.0000  10 Ho 3.57-3.92
Tb  0.7500  0.7500  0.0000  10 Ho 3.57-3.92
Pm  0.1185  0.6185  0.7370  1 Pm 2.90, 2 Ho 3.03
Pm  0.3815  0.1185  0.5000  1 Pm 2.90, 2 Ho 3.03
Pm  0.6185  0.8815  0.5000  1 Pm 2.90, 2 Ho 3.03
Pm  0.8815  0.3815  0.2630  1 Pm 2.90, 2 Ho 3.03
Ho  0.0000  0.0000  0.0000  4 Pm 3.46, 8 Ho 3.78
Ho  0.0697  0.1553  0.5000  1 Pm 3.03, 1 La 3.09
Ho  0.1553  0.6553  0.0856  1 Pm 3.03, 1 La 3.09
Ho  0.3447  0.4303  0.5000  1 Pm 3.03, 1 La 3.09
Ho  0.4303  0.9303  0.0856  1 Pm 3.03, 1 La 3.09
Ho  0.5000  0.5000  0.0000  4 Pm 3.46, 8 Ho 3.78
Ho  0.5697  0.0697  0.9144  1 Pm 3.03, 1 La 3.09
Ho  0.6553  0.5697  0.5000  1 Pm 3.03, 1 La 3.09
Ho  0.8447  0.3447  0.9144  1 Pm 3.03, 1 La 3.09
Ho  0.9303  0.8447  0.5000  1 Pm 3.03, 1 La 3.09

---

[4]
Y5Te4 after structural relaxation. Source: the Alexandria database, functional PBE-GGA.

Properties
Formation energy without anion corrections in eV/atom: -1.0662
Theoretical density in g cm⁻³: 6.4

a = 9.2020 Å, b = 9.2020 Å, c = 6.7137 Å
α = 90.00°, β = 90.00°, γ = 120.00°
Closest atoms and distances in Å follow each position.
Element x y z (fractional)
Y  0.0000  0.2757  0.2500  5 Te 3.04-3.19
Y  0.0000  0.7243  0.7500  5 Te 3.04-3.19
Y  0.2757  0.0000  0.2500  5 Te 3.04-3.19
Y  0.2757  0.2757  0.7500  5 Te 3.04-3.19
Y  0.3333  0.6667  0.0000  6 Te 3.30, 2 Y 3.36
Y  0.3333  0.6667  0.5000  6 Te 3.30, 2 Y 3.36
Y  0.6667  0.3333  0.0000  6 Te 3.30, 2 Y 3.36
Y  0.6667  0.3333  0.5000  6 Te 3.30, 2 Y 3.36
Y  0.7243  0.0000  0.7500  5 Te 3.04-3.19
Y  0.7243  0.7243  0.2500  5 Te 3.04-3.19
Te  0.0000  0.0000  0.0000  6 Y 3.04, 2 Te 3.36
Te  0.0000  0.0000  0.5000  6 Y 3.04, 2 Te 3.36
Te  0.0000  0.3887  0.7500  7 Y 3.09-3.30
Te  0.0000  0.6113  0.2500  7 Y 3.09-3.30
Te  0.3887  0.0000  0.7500  7 Y 3.09-3.30
Te  0.3887  0.3887  0.2500  7 Y 3.09-3.30
Te  0.6113  0.0000  0.2500  7 Y 3.09-3.30
Te  0.6113  0.6113  0.7500  7 Y 3.09-3.30

---

Quick rundown of magnetization, same order as above: 0.00, 0.00, 0.00, 0.20 μB/f.u.